[1]
VASP calculation (PBE-GGA) on a geometry-optimized TbNdPdPt structure.

**Space-group type**: F-43m
**Formation energy**: -962.2 meV/atom
**Raw total energy**: -0.225 Ha/atom
**Total magnetic moment**: 0.0 Bohr magnetons per cell

a b c (Å): 5.044 5.044 5.044
angles (deg): 60.00 60.00 60.00
Fractional coordinates of all 4 atoms:
Pt: 0.250 0.250 0.250
Tb: 0.000 0.000 0.000
Nd: 0.500 0.500 0.500
Pd: 0.750 0.750 0.750

[2]
VASP calculation (PBE-GGA) on a geometry-optimized NdTlPdPt structure.

**Space-group type**: F-43m
**Formation energy**: -618.9 meV/atom
**Raw total energy**: -0.191 Ha/atom
**Total magnetic moment**: 0.0 Bohr magnetons per cell

a b c (Å): 4.944 4.944 4.944
angles (deg): 60.00 60.00 60.00
Fractional coordinates of all 4 atoms:
Tl: 0.750 0.750 0.750
Pt: 0.000 0.000 0.000
Nd: 0.250 0.250 0.250
Pd: 0.500 0.500 0.500

[3]
VASP calculation (PBE-GGA) on a geometry-optimized NdYPdPt structure.

**Space-group type**: F-43m
**Formation energy**: -962.0 meV/atom
**Raw total energy**: -0.242 Ha/atom
**Total magnetic moment**: 0.0 Bohr magnetons per cell

a b c (Å): 5.041 5.041 5.041
angles (deg): 60.00 60.00 60.00
Fractional coordinates of all 4 atoms:
Pt: 0.750 0.750 0.750
Nd: 0.000 0.000 0.000
Pd: 0.250 0.250 0.250
Y: 0.500 0.500 0.500

[4]
VASP calculation (PBE-GGA) on a geometry-optimized NdYPdPt structure.

**Space-group type**: Amm2
**Formation energy**: -1031.8 meV/atom
**Raw total energy**: -0.244 Ha/atom
**Total magnetic moment**: 0.0 Bohr magnetons per cell

a b c (Å): 3.845 4.547 5.712
angles (deg): 90.00 109.67 90.00
Fractional coordinates of all 4 atoms:
Pd: 0.585 0.500 0.170
Y: 0.864 0.500 0.728
Pt: 0.413 0.000 0.826
Nd: 0.138 0.000 0.277

[5]
VASP calculation (PBE-GGA) on a geometry-optimized Nd2Zn3PdPt4 structure.

**Space-group type**: P-4m2
**Formation energy**: -758.3 meV/atom
**Raw total energy**: -0.185 Ha/atom
**Total magnetic moment**: 0.0 Bohr magnetons per cell

a b c (Å): 4.087 4.087 11.483
angles (deg): 90.00 90.00 90.00
Fractional coordinates of all 10 atoms:
Pt: 0.500 0.000 0.653
Pt: 0.000 0.500 0.347
Pt: 0.500 0.500 0.000
Pt: 0.000 0.000 0.000
Zn: 0.500 0.000 0.868
Zn: 0.000 0.500 0.132
Zn: 0.000 0.000 0.500
Nd: 0.000 0.500 0.752
Nd: 0.500 0.000 0.248
Pd: 0.500 0.500 0.500

[6]
VASP calculation (PBE-GGA) on a geometry-optimized NdZn5Pd2Pt structure.

**Space-group type**: P4/mmm
**Formation energy**: -255.1 meV/atom
**Raw total energy**: -0.122 Ha/atom
**Total magnetic moment**: 0.0 Bohr magnetons per cell

a b c (Å): 4.830 4.830 7.324
angles (deg): 90.00 90.00 90.00
Fractional coordinates of all 9 atoms:
Zn: 0.500 0.500 0.500
Zn: 0.500 0.000 0.186
Zn: 0.500 0.000 0.814
Zn: 0.000 0.500 0.186
Zn: 0.000 0.500 0.814
Pd: 0.500 0.500 0.820
Pd: 0.500 0.500 0.180
Pt: 0.000 0.000 0.000
Nd: 0.000 0.000 0.500

[7]
VASP calculation (PBE-GGA) on a geometry-optimized Nd2Zn3PdPt12 structure.

**Space-group type**: R-3m
**Formation energy**: -140.1 meV/atom
**Raw total energy**: -0.191 Ha/atom
**Total magnetic moment**: 0.0 Bohr magnetons per cell

a b c (Å): 8.114 8.114 8.114
angles (deg): 59.04 59.04 59.04
Fractional coordinates of all 18 atoms:
Pt: 0.391 0.868 0.868
Pt: 0.868 0.391 0.868
Pt: 0.132 0.132 0.609
Pt: 0.609 0.132 0.132
Pt: 0.130 0.621 0.621
Pt: 0.868 0.868 0.391
Pt: 0.379 0.379 0.870
Pt: 0.621 0.130 0.621
Pt: 0.621 0.621 0.130
Pt: 0.870 0.379 0.379
Pt: 0.132 0.609 0.132
Pt: 0.379 0.870 0.379
Nd: 0.377 0.377 0.377
Nd: 0.623 0.623 0.623
Zn: 0.000 0.000 0.500
Zn: 0.000 0.500 0.000
Zn: 0.500 0.000 0.000
Pd: 0.000 0.000 0.000

[8]
VASP calculation (PBE-GGA) on a geometry-optimized Nd2ZnPd2Pt5 structure.

**Space-group type**: P4/mbm
**Formation energy**: -714.7 meV/atom
**Raw total energy**: -0.215 Ha/atom
**Total magnetic moment**: 0.0 Bohr magnetons per cell

a b c (Å): 4.138 9.507 9.507
angles (deg): 90.00 90.00 90.00
Fractional coordinates of all 20 atoms:
Zn: 0.000 0.500 0.500
Zn: 0.000 0.000 0.000
Pt: 0.500 0.200 0.056
Pt: 0.500 0.944 0.200
Pt: 0.500 0.700 0.444
Pt: 0.500 0.800 0.944
Pt: 0.500 0.000 0.500
Pt: 0.500 0.056 0.800
Pt: 0.500 0.500 0.000
Pt: 0.500 0.556 0.700
Pt: 0.500 0.300 0.556
Pt: 0.500 0.444 0.300
Pd: 0.000 0.626 0.874
Pd: 0.000 0.374 0.126
Pd: 0.000 0.126 0.626
Pd: 0.000 0.874 0.374
Nd: 0.000 0.827 0.673
Nd: 0.000 0.673 0.173
Nd: 0.000 0.173 0.327
Nd: 0.000 0.327 0.827

[9]
VASP calculation (PBE-GGA) on a geometry-optimized NdZn2Pd2Pt structure.

**Space-group type**: P4/mmm
**Formation energy**: -407.5 meV/atom
**Raw total energy**: -0.160 Ha/atom
**Total magnetic moment**: 0.0 Bohr magnetons per cell

a b c (Å): 4.732 4.732 5.565
angles (deg): 90.00 90.00 90.00
Fractional coordinates of all 6 atoms:
Zn: 0.000 0.500 0.000
Zn: 0.500 0.000 0.000
Pd: 0.500 0.500 0.746
Pd: 0.500 0.500 0.254
Nd: 0.000 0.000 0.500
Pt: 0.000 0.000 0.000

[10]
VASP calculation (PBE-GGA) on a geometry-optimized Nd2Zn2Pd5Pt structure.

**Space-group type**: P4/mbm
**Formation energy**: -621.1 meV/atom
**Raw total energy**: -0.185 Ha/atom
**Total magnetic moment**: 0.0 Bohr magnetons per cell

a b c (Å): 3.928 9.607 9.607
angles (deg): 90.00 90.00 90.00
Fractional coordinates of all 20 atoms:
Pd: 0.500 0.794 0.936
Pd: 0.500 0.564 0.706
Pd: 0.500 0.706 0.436
Pd: 0.500 0.206 0.064
Pd: 0.500 0.064 0.794
Pd: 0.500 0.000 0.500
Pd: 0.500 0.294 0.564
Pd: 0.500 0.500 0.000
Pd: 0.500 0.936 0.206
Pd: 0.500 0.436 0.294
Zn: 0.000 0.385 0.115
Zn: 0.000 0.615 0.885
Zn: 0.000 0.115 0.615
Zn: 0.000 0.885 0.385
Nd: 0.000 0.683 0.183
Nd: 0.000 0.317 0.817
Nd: 0.000 0.183 0.317
Nd: 0.000 0.817 0.683
Pt: 0.000 0.000 0.000
Pt: 0.000 0.500 0.500

[11]
VASP calculation (PBE-GGA) on a geometry-optimized NdPu3Pd4 structure.

**Space-group type**: Pmmm
**Formation energy**: -476.8 meV/atom
**Raw total energy**: -0.332 Ha/atom
**Total magnetic moment**: 17.1 Bohr magnetons per cell

a b c (Å): 3.533 5.022 10.075
angles (deg): 90.00 90.00 90.00
Last column: magnetic moment on the atom in μB.
Fractional coordinates of all 8 atoms:
Pd: 0.000 0.500 0.251  -0.01
Pd: 0.000 0.500 0.749  -0.01
Pd: 0.000 0.000 0.000  0.01
Pd: 0.000 0.000 0.500  -0.03
Nd: 0.500 0.500 0.000  0.08
Pu: 0.500 0.000 0.255  5.36
Pu: 0.500 0.000 0.745  5.36
Pu: 0.500 0.500 0.500  5.37

[12]
VASP calculation (PBE-GGA) on a geometry-optimized NdPuPd2 structure.

**Space-group type**: Amm2
**Formation energy**: -592.9 meV/atom
**Raw total energy**: -0.293 Ha/atom
**Total magnetic moment**: 5.8 Bohr magnetons per cell

a b c (Å): 3.901 4.459 5.832
angles (deg): 90.00 109.58 90.00
Last column: magnetic moment on the atom in μB.
Fractional coordinates of all 4 atoms:
Pd: 0.996 0.000 0.531  -0.04
Pd: 0.167 0.500 0.873  -0.01
Nd: 0.723 0.000 0.985  0.08
Pu: 0.445 0.500 0.430  5.31